w:
Material: Cs2NbOs
Method: DFT, PBE
State: optimized geometry

abc: 5.7477 5.7477 5.7477
angles: 60.00 60.00 60.00
Each line ends with the local moment (μB).
Element x y z (fractional)
Cs 0.2500 0.2500 0.2500  0.10
Cs 0.7500 0.7500 0.7500  0.10
Nb 0.0000 0.0000 0.0000  2.91
Os 0.5000 0.5000 0.5000  1.17

Summary:
M_tot   5.6 μB/f.u.
Calculated density   6789 kg/m³
Volume   134.3 Å³/cell



x:
Material: Cs2NbOs
Method: DFT, PBE
State: optimized geometry

abc: 10.1953 10.1953 10.1953
angles: 93.02 93.02 153.47
Each line ends with the local moment (μB).
Element x y z (fractional)
Cs 0.6815 0.3750 0.8065  0.03
Cs 0.6250 0.4315 0.3065  0.03
Nb 0.7500 0.2500 0.5000  0.92
Os 0.0000 0.0000 0.0000  -0.47
Cs 0.5685 0.8750 0.1935  0.03
Cs 0.1250 0.3185 0.6935  0.03
Nb 0.5000 0.5000 0.0000  0.92
Os 0.2500 0.7500 0.5000  -0.47

Summary:
M_tot   1.2 μB/f.u.
Calculated density   3957 kg/m³
Volume   460.7 Å³/cell



Relative energy of each structure, in eV/atom: w 1.109; x 0.000.